(1)
LiVF4 | Alexandria via LeMat-Bulk | GGA-PBEsol | optimized geometry; energy above the lowest structure with this stoichiometry = 27 meV/atom; crystal system = monoclinic; ΔE_f (raw) = -2.874 eV per atom
1.0
-3.314 2.738 -1.528
-0.615 -3.223 -3.858
-3.698 -2.829 2.953
F V Li
8 2 2
Direct
0.738 0.088 0.629 F
0.223 0.421 0.117 F
0.777 0.079 0.117 F
0.777 0.579 0.883 F
0.223 0.921 0.883 F
0.262 0.412 0.629 F
0.738 0.588 0.371 F
0.262 0.912 0.371 F
0.000 0.250 0.848 V
0.000 0.750 0.152 V
0.500 0.250 0.369 Li
0.500 0.750 0.631 Li


(2)
MgTi2 | Alexandria via LeMat-Bulk | GGA-PBEsol | optimized geometry; formation energy = 0.087 eV/atom; crystal system = orthorhombic
1.0
-1.415 1.843 -1.637
-4.160 -1.481 1.929
1.365 4.619 6.490
Mg Ti
2 4
Direct
0.552 0.750 0.103 Mg
0.448 0.250 0.897 Mg
0.776 0.250 0.553 Ti
0.224 0.750 0.447 Ti
0.871 0.750 0.742 Ti
0.129 0.250 0.258 Ti


(3)
BaB2Pt2 | Alexandria via LeMat-Bulk | GGA-PBEsol | optimized geometry; formation energy = 0.386 eV/atom; crystal system = tetragonal
1.0
3.045 0.000 0.000
0.000 7.498 0.000
0.000 0.000 7.498
Pt Ba B
4 2 4
Direct
0.500 0.626 0.874 Pt
0.500 0.374 0.126 Pt
0.500 0.126 0.626 Pt
0.500 0.874 0.374 Pt
0.000 0.000 0.000 Ba
0.000 0.500 0.500 Ba
0.000 0.911 0.589 B
0.000 0.411 0.911 B
0.000 0.589 0.089 B
0.000 0.089 0.411 B


Magnetization, record by record: 4.0; 0.0; 0.0 μB per cell